1.
## AgRu (PBE)

Data for an optimized crystal structure of AgRu.

The density of states at the Fermi level is 1.61 states/eV/f.u. The calculation puts the total magnetic moment at 0.00 μB per atom. The total energy is -5.585 eV/atom.

It has space group C2/m (No. 12), with a = 9.038 Å, b = 2.754 Å, c = 5.140 Å, α = 90.00°, β = 98.35° and γ = 90.00°. The inequivalent atoms are Ag at (0.123, 0.000, 0.390) and Ru at (0.130, 0.500, 0.916).

---

2.
## AgRu2 (PBE)

Data for an optimized crystal structure of AgRu2.

The density of states at the Fermi level is 3.63 states/eV/f.u. The calculation puts the total magnetic moment at 0.12 μB per atom. The excess energy over the best structure of this formula in the dataset is 196 meV per atom.

It has space group Cm (No. 8), with a = 10.456 Å, b = 2.767 Å, c = 6.543 Å, α = 90.00°, β = 106.22° and γ = 90.00°. The inequivalent atoms are Ag at (0.000, 0.000, 0.000), Ag at (0.157, 0.500, 0.334), Ru at (0.038, 0.000, 0.610), Ru at (0.226, 0.500, 0.907), Ru at (0.334, 0.000, 0.657) and Ru at (0.372, 0.000, 0.269).

---

3.
## AgRu2 (PBE)

Data for an optimized crystal structure of AgRu2.

The density of states at the Fermi level is 5.16 states/eV/f.u. The calculation puts the total magnetic moment at 0.49 μB per atom. The excess energy over the best structure of this formula in the dataset is 419 meV per atom.

It has space group Fd-3m (No. 227, origin choice 2), with a = 7.296 Å, b = 7.296 Å, c = 7.296 Å, α = 90.00°, β = 90.00° and γ = 90.00°. The inequivalent atoms are Ag at (0.125, 0.125, 0.125) and Ru at (0.000, 0.000, 0.500).

---

4.
## AgRu (PBE)

Data for an optimized crystal structure of AgRu.

The density of states at the Fermi level is 2.56 states/eV/f.u. The calculation puts the total magnetic moment at 0.00 μB per atom. The total energy is -5.571 eV/atom.

It has space group P6_3/mmc (No. 194), with a = 7.9813 Å, b = 7.9813 Å, c = 3.7289 Å, α = 90.00°, β = 90.00° and γ = 120.00°. The inequivalent atoms are Ag at (0.1520, 0.3039, 0.2500) and Ru at (0.1208, 0.5604, 0.7500).

---

5.
## AgRu5 (PBE)

Data for an optimized crystal structure of AgRu5.

The density of states at the Fermi level is 7.71 states/eV/f.u. The calculation puts the total magnetic moment at 0.00 μB per atom. The excess energy over the best structure of this formula in the dataset is 0 meV per atom.

It has space group Cm (No. 8), with a = 10.082 Å, b = 2.750 Å, c = 6.462 Å, α = 90.00°, β = 104.28° and γ = 90.00°. The inequivalent atoms are Ag at (0.000, 0.000, 0.000), Ru at (0.054, 0.000, 0.602), Ru at (0.171, 0.500, 0.340), Ru at (0.225, 0.500, 0.931), Ru at (0.325, 0.000, 0.657) and Ru at (0.381, 0.000, 0.284).

---

6.
## Ag2Ru3 (PBE)

Data for an optimized crystal structure of Ag2Ru3.

The density of states at the Fermi level is 5.01 states/eV/f.u. The calculation puts the total magnetic moment at 0.06 μB per atom. The total energy is -6.288 eV/atom.

It has space group R-3m (No. 166, hexagonal axes), with a = 2.7657 Å, b = 2.7657 Å, c = 35.1310 Å, α = 90.00°, β = 90.00° and γ = 120.00°. The inequivalent atoms are Ag at (0.0000, 0.0000, 0.0986), Ru at (0.0000, 0.0000, 0.3053) and Ru at (0.0000, 0.0000, 0.5000).

---

7.
## Ag3Ru (PBE)

Data for an optimized crystal structure of Ag3Ru.

The density of states at the Fermi level is 3.69 states/eV/f.u. The calculation puts the total magnetic moment at 0.02 μB per atom. The total energy is -4.025 eV/atom.

It has space group Pmm2 (No. 25), with a = 2.723 Å, b = 4.820 Å, c = 5.114 Å, α = 90.00°, β = 90.00° and γ = 90.00°. The inequivalent atoms are Ag at (0.000, 0.000, 0.000), Ag at (0.000, 0.500, 0.325), Ag at (0.500, 0.000, 0.511) and Ru at (0.500, 0.500, 0.829).

---

8.
## AgRu2 (PBE)

Data for an optimized crystal structure of AgRu2.

The density of states at the Fermi level is 3.83 states/eV/f.u. The calculation puts the total magnetic moment at 0.00 μB per atom. The excess energy over the best structure of this formula in the dataset is 433 meV per atom.

It has space group Imma (No. 74), with a = 2.731 Å, b = 4.446 Å, c = 16.358 Å, α = 90.00°, β = 90.00° and γ = 90.00°. The inequivalent atoms are Ag at (0.000, 0.250, 0.129), Ru at (0.000, 0.250, 0.535) and Ru at (0.000, 0.250, 0.687).

---

9.
## Ag3Ru (PBE)

Data for an optimized crystal structure of Ag3Ru.

The density of states at the Fermi level is 4.06 states/eV/f.u. The calculation puts the total magnetic moment at 0.47 μB per atom. The total energy is -3.924 eV/atom.

It has space group Pmmn (No. 59, origin choice 2), with a = 4.726 Å, b = 5.863 Å, c = 4.935 Å, α = 90.00°, β = 90.00° and γ = 90.00°. The inequivalent atoms are Ag at (0.250, 0.000, 0.171), Ag at (0.250, 0.250, 0.664) and Ru at (0.250, 0.750, 0.670).

---

10.
## AgRu (PBE)

Data for an optimized crystal structure of AgRu.

The density of states at the Fermi level is 2.17 states/eV/f.u. The calculation puts the total magnetic moment at 0.30 μB per atom. The total energy is -5.489 eV/atom.

It has space group P-6m2 (No. 187), with a = 2.7426 Å, b = 2.7426 Å, c = 4.8585 Å, α = 90.00°, β = 90.00° and γ = 120.00°. The inequivalent atoms are Ag at (0.0000, 0.0000, 0.0000) and Ru at (0.3333, 0.6667, 0.5000).

---

11.
## Ag3Ru (PBE)

Data for an optimized crystal structure of Ag3Ru.

The density of states at the Fermi level is 3.70 states/eV/f.u. The calculation puts the total magnetic moment at 0.41 μB per atom. The total energy is -3.917 eV/atom.

It has space group P6_3/mmc (No. 194), with a = 5.8227 Å, b = 5.8227 Å, c = 4.6618 Å, α = 90.00°, β = 90.00° and γ = 120.00°. The inequivalent atoms are Ag at (0.1687, 0.3374, 0.2500) and Ru at (0.3333, 0.6667, 0.7500).

---

12.
## AgRu (PBE)

Data for an optimized crystal structure of AgRu.

The density of states at the Fermi level is 1.45 states/eV/f.u. The calculation puts the total magnetic moment at 0.00 μB per atom. The total energy is -5.706 eV/atom.

It has space group P2_1/m (No. 11), with a = 2.798 Å, b = 3.769 Å, c = 6.081 Å, α = 90.00°, β = 90.12° and γ = 90.00°. The inequivalent atoms are Ag at (0.250, 0.250, 0.128) and Ru at (0.251, 0.250, 0.588).